(1)
# SiAsP4, relaxed, DFT GGA-PBE
data_SiAsP4
_chemical_formula_sum 'Si4 As4 P16'
_cell_length_a 7.2789
_cell_length_b 7.2789
_cell_length_c 7.2789
_cell_angle_alpha 90.00
_cell_angle_beta 90.00
_cell_angle_gamma 90.00
_space_group_name_H-M_alt 'F -4 3 m'
_space_group_IT_number 216
_space_group_name_Hall 'F -4 2 3'
loop_
_atom_site_label
_atom_site_type_symbol
_atom_site_fract_x
_atom_site_fract_y
_atom_site_fract_z
Si1 Si 0.0000 0.0000 0.0000
As1 As 0.2500 0.2500 0.7500
P1 P 0.1307 0.1307 0.3693
# total magnetic moment	0.000	μB per atom
# final energy	-107.104	eV/cell
# D(E_F)	12.12	states/eV per cell
# formation energy (no corrections)	823	meV per atom

=====

(2)
# RbCeI2, relaxed, DFT GGA-PBE
data_RbCeI2
_chemical_formula_sum 'Rb3 Ce3 I6'
_cell_length_a 4.2600
_cell_length_b 4.2600
_cell_length_c 29.3299
_cell_angle_alpha 90.00
_cell_angle_beta 90.00
_cell_angle_gamma 120.00
_space_group_name_H-M_alt 'R -3 m'
_space_group_IT_number 166
_space_group_name_Hall '-R 3 2"'
loop_
_atom_site_label
_atom_site_type_symbol
_atom_site_fract_x
_atom_site_fract_y
_atom_site_fract_z
Rb1 Rb 0.0000 0.0000 0.0000
Ce1 Ce 0.0000 0.0000 0.5000
I1 I 0.0000 0.0000 0.2409
# total magnetic moment	0.395	μB per atom
# final energy	-42.013	eV/cell
# energy relative to the lowest polymorph listed for this composition	0.000	eV/atom
# D(E_F)	17.71	states/eV per cell
# formation energy (no corrections)	-1001	meV per atom

=====

(3)
# CrInNi2, relaxed, DFT GGA-PBE
data_CrInNi2
_chemical_formula_sum 'Cr1 In1 Ni2'
_cell_length_a 4.0283
_cell_length_b 4.0283
_cell_length_c 3.4900
_cell_angle_alpha 90.00
_cell_angle_beta 90.00
_cell_angle_gamma 90.00
_space_group_name_H-M_alt 'P 4/m m m'
_space_group_IT_number 123
_space_group_name_Hall '-P 4 2'
loop_
_atom_site_label
_atom_site_type_symbol
_atom_site_fract_x
_atom_site_fract_y
_atom_site_fract_z
Cr1 Cr 0.0000 0.0000 0.0000
In1 In 0.5000 0.5000 0.0000
Ni1 Ni 0.0000 0.5000 0.5000
# total magnetic moment	1.068	μB per atom
# final energy	-23.591	eV/cell
# D(E_F)	3.06	states/eV per cell
# formation energy from the elements	0.083	eV/atom

=====

(4)
# SrRu2Pt, relaxed, DFT GGA-PBE
data_SrRu2Pt
_chemical_formula_sum 'Sr1 Ru2 Pt1'
_cell_length_a 2.8624
_cell_length_b 3.6395
_cell_length_c 7.3046
_cell_angle_alpha 90.00
_cell_angle_beta 90.00
_cell_angle_gamma 90.00
_space_group_name_H-M_alt 'P m m 2'
_space_group_IT_number 25
loop_
_space_group_symop_operation_xyz
'x,y,z'
'-x,-y,z'
'-x,y,z'
'x,-y,z'
loop_
_atom_site_label
_atom_site_type_symbol
_atom_site_fract_x
_atom_site_fract_y
_atom_site_fract_z
Sr1 Sr 0.0000 0.0000 0.0000
Ru1 Ru 0.0000 0.0000 0.5129
Ru2 Ru 0.5000 0.5000 0.6665
Pt1 Pt 0.5000 0.5000 0.2920
# total magnetic moment	0.000	μB per atom
# final energy	-25.535	eV/cell
# energy relative to the lowest polymorph listed for this composition	0.111	eV/atom
# D(E_F)	4.29	states/eV per cell
# formation energy from the elements	0.185	eV/atom

=====

- The highest total magnetic moment belongs to which entry?
  CrInNi2